# LiNiF3

An optimized crystal structure of LiNiF3 (PBE+U, Alexandria).

Its total energy is -89.72 eV per cell. The space group is C2/c (15). As for the energy above the most stable polymorph in this dataset: 0.04 eV per formula unit.

a = 5.3210 Å, b = 6.5864 Å, c = 6.5864 Å
α = 85.13°, β = 83.75°, γ = 83.75°
Each line ends with the local moment (μB).
Fractional coordinates of all 20 atoms:
Li 0.8046 0.7262 0.9042  0.00
Li 0.3046 0.9042 0.7262  0.00
Li 0.6954 0.0958 0.2738  0.00
Li 0.1954 0.2738 0.0958  0.00
Ni 0.7500 0.2264 0.7736  1.85
Ni 0.7500 0.5914 0.4086  1.83
Ni 0.2500 0.4086 0.5914  1.83
Ni 0.2500 0.7736 0.2264  1.85
F 0.6282 0.9552 0.7805  0.04
F 0.1282 0.7805 0.9552  0.04
F 0.8844 0.5243 0.6927  0.07
F 0.8974 0.8562 0.3613  0.06
F 0.3844 0.6927 0.5243  0.07
F 0.3974 0.3613 0.8562  0.06
F 0.6026 0.6387 0.1438  0.06
F 0.6156 0.3073 0.4757  0.07
F 0.1026 0.1438 0.6387  0.06
F 0.1156 0.4757 0.3073  0.07
F 0.8718 0.2195 0.0448  0.04
F 0.3718 0.0448 0.2195  0.04